Entry 1:
VASP calculation (PBE) on an optimized crystal structure of Cs2PdPbBr6.

Output
**E**: -3.13 eV per atom
**SG**: Fm-3m, No. 225
**Crystal system**: cubic

Lattice parameters (Å, degrees): 7.9237 7.9237 7.9237 60.00 60.00 60.00
Element x y z (fractional)
Cs 0.2500 0.2500 0.2500
Cs 0.7500 0.7500 0.7500
Pd 0.0000 0.0000 0.0000
Pb 0.5000 0.5000 0.5000
Br 0.2371 0.2371 0.7629
Br 0.2371 0.7629 0.2371
Br 0.2371 0.7629 0.7629
Br 0.7629 0.2371 0.2371
Br 0.7629 0.2371 0.7629
Br 0.7629 0.7629 0.2371



Entry 2:
VASP calculation (PBE) on an optimized crystal structure of CsPd2Br5.

Output
**E**: -3.01 eV per atom
**SG**: P2_1/m, No. 11
**Crystal system**: monoclinic

Lattice parameters (Å, degrees): 9.3280 4.7869 11.8528 90.00 105.16 90.00
Element x y z (fractional)
Cs 0.0161 0.2500 0.2506
Cs 0.9839 0.7500 0.7494
Pd 0.3788 0.2500 0.1251
Pd 0.4082 0.2500 0.6194
Pd 0.5918 0.7500 0.3806
Pd 0.6212 0.7500 0.8749
Br 0.1378 0.2500 0.5801
Br 0.1459 0.2500 0.9735
Br 0.3256 0.7500 0.3741
Br 0.4086 0.7500 0.6969
Br 0.4233 0.7500 0.0793
Br 0.5767 0.2500 0.9207
Br 0.5914 0.2500 0.3031
Br 0.6744 0.2500 0.6259
Br 0.8541 0.7500 0.0265
Br 0.8622 0.7500 0.4199



Entry 3:
VASP calculation (PBE) on an optimized crystal structure of Cs3PdBr6.

Output
**E**: -2.91 eV per atom
**SG**: Fm-3m, No. 225
**Crystal system**: cubic

Lattice parameters (Å, degrees): 8.3289 8.3289 8.3289 60.00 60.00 60.00
Element x y z (fractional)
Cs 0.0000 0.0000 0.0000
Cs 0.2500 0.2500 0.2500
Cs 0.7500 0.7500 0.7500
Pd 0.5000 0.5000 0.5000
Br 0.2818 0.2818 0.7182
Br 0.2818 0.7182 0.2818
Br 0.2818 0.7182 0.7182
Br 0.7182 0.2818 0.2818
Br 0.7182 0.2818 0.7182
Br 0.7182 0.7182 0.2818



Entry 4:
VASP calculation (PBE) on an optimized crystal structure of Cs2PdBr6.

Output
**E**: -2.87 eV per atom
**SG**: Fm-3m, No. 225
**Crystal system**: cubic

Lattice parameters (Å, degrees): 7.6264 7.6264 7.6264 60.00 60.00 60.00
Element x y z (fractional)
Cs 0.2500 0.2500 0.2500
Cs 0.7500 0.7500 0.7500
Pd 0.0000 0.0000 0.0000
Br 0.2333 0.2333 0.7667
Br 0.2333 0.7667 0.2333
Br 0.2333 0.7667 0.7667
Br 0.7667 0.2333 0.2333
Br 0.7667 0.2333 0.7667
Br 0.7667 0.7667 0.2333



Entry 5:
VASP calculation (PBE) on an optimized crystal structure of Cs2RbPdBr6.

Output
**E**: -2.92 eV per atom
**SG**: Fm-3m, No. 225
**Crystal system**: cubic

Lattice parameters (Å, degrees): 8.1788 8.1788 8.1788 60.00 60.00 60.00
Element x y z (fractional)
Cs 0.2500 0.2500 0.2500
Cs 0.7500 0.7500 0.7500
Rb 0.0000 0.0000 0.0000
Pd 0.5000 0.5000 0.5000
Br 0.2778 0.2778 0.7222
Br 0.2778 0.7222 0.2778
Br 0.2778 0.7222 0.7222
Br 0.7222 0.2778 0.2778
Br 0.7222 0.2778 0.7222
Br 0.7222 0.7222 0.2778



Entry 6:
VASP calculation (PBE) on an optimized crystal structure of Cs2ScPdBr6.

Output
**E**: -3.70 eV per atom
**SG**: R3, No. 146
**Crystal system**: trigonal

Lattice parameters (Å, degrees): 7.7279 7.7279 7.7279 60.06 60.06 60.06
Element x y z (fractional)
Cs 0.0000 0.0000 0.0000
Cs 0.4991 0.4991 0.4991
Sc 0.7498 0.7498 0.7498
Pd 0.2498 0.2498 0.2498
Br 0.0057 0.9840 0.5050
Br 0.4937 0.5159 0.9947
Br 0.5050 0.0057 0.9840
Br 0.5159 0.9947 0.4937
Br 0.9840 0.5050 0.0057
Br 0.9947 0.4937 0.5159